The following is a DFT calculation (PBE-GGA) of a relaxed Pr7DyTm3 crystal.

Output
Space group: C2/c (15)
Energy of formation (eV/atom): 0.1833
ΔE to the lowest computed polymorph (meV per atom): 0

```
22
Lattice="9.835 -2.444 2.079 -5.724 8.362 -2.085 2.578 -1.778 12.300" Properties=species:S:1:pos:R:3 pbc="T T T"
Pr 3.551 3.738 3.071
Pr 4.862 -1.152 6.505
Pr 9.346 -2.151 10.919
Pr 0.558 6.165 -0.400
Tm 2.578 -1.778 12.300
Tm 6.586 -0.215 9.647
Tm 1.359 3.416 8.797
Tm 0.104 4.355 2.647
Dy 3.345 2.070 6.147
Pr 8.109 -1.186 4.769
Pr -2.656 6.290 1.375
Tm 5.331 0.724 3.497
Pr 6.131 -2.025 12.694
Pr 6.872 1.785 6.541
Pr 1.827 5.292 5.789
Pr 3.139 0.401 9.223
Tm 1.289 -0.889 6.150
Dy 2.056 2.959 -0.003
Pr -1.494 3.257 -0.358
Pr -0.182 2.354 5.753
Pr -1.419 5.325 7.525
Pr 8.183 0.883 12.651
```


The following is a DFT calculation (PBE-GGA) of a relaxed PrDy3Tm4 crystal.

Output
Space group: C2/m (12)
Energy of formation (eV/atom): 0.2306
ΔE to the lowest computed polymorph (meV per atom): 221

```
8
Lattice="-3.047 -3.230 -3.429 2.568 -2.417 -0.006 -3.931 -4.214 12.052" Properties=species:S:1:pos:R:3 pbc="T T T"
Tm -3.017 -5.809 8.153
Tm -1.393 -4.052 0.464
Pr -1.524 -1.615 -1.715
Tm -1.732 -4.423 5.705
Dy -1.716 -1.836 3.254
Tm -2.679 -5.438 2.912
Dy -2.694 -8.025 5.363
Dy 1.284 -1.208 -0.003
```


The following is a DFT calculation (PBE-GGA) of a relaxed Pr3Dy2Tm7 crystal.

Output
Space group: P2/m (10)
Energy of formation (eV/atom): 0.0947
ΔE to the lowest computed polymorph (meV per atom): 4

```
12
Lattice="-2.850 1.022 1.795 2.490 -2.360 5.298 9.262 13.653 6.939" Properties=species:S:1:pos:R:3 pbc="T T T"
Pr 8.310 6.892 9.275
Dy 5.773 8.824 7.597
Tm 8.816 10.375 8.096
Dy 3.129 3.490 6.435
Tm 0.249 2.628 2.351
Tm 2.936 0.918 4.141
Pr -0.180 -0.669 3.546
Pr 3.442 4.400 2.962
Tm 3.821 6.750 5.679
Tm 5.080 5.564 8.353
Tm 0.000 0.000 0.000
Tm 8.653 9.686 11.681
```